Below is a relaxed Cs4IOF crystal, with properties calculated at the PBE level.

Properties
total energy	-45.97	eV for the cell shown
SG	P2_1/m
uncorrected formation energy	-154	kJ/mol of atoms

extended XYZ file:
```
14
Lattice="7.796 0.000 0.184 0.000 8.021 0.000 -2.803 0.000 9.982" Properties=species:S:1:pos:R:3 pbc="T T T"
Cs 5.848 3.885 7.057
Cs -0.855 7.895 3.109
Cs -0.855 4.136 3.109
Cs 5.848 0.126 7.057
Cs 2.269 6.015 1.055
Cs 2.724 2.005 9.112
Cs 2.511 6.015 5.674
Cs 2.482 2.005 4.492
I 3.343 6.015 9.736
I 1.651 2.005 0.430
O 1.101 6.015 3.421
O 3.892 2.005 6.745
F 5.310 6.015 5.008
F -0.317 2.005 5.158
```

---

Below is a relaxed Cs8I3OF3 crystal, with properties calculated at the PBE level.

Properties
total energy	-49.61	eV for the cell shown
SG	R-3m
uncorrected formation energy	-177	kJ/mol of atoms

extended XYZ file:
```
15
Lattice="-0.774 -6.755 -6.263 8.370 2.832 2.734 -5.409 -5.574 6.680" Properties=species:S:1:pos:R:3 pbc="T T T"
Cs 2.631 -2.041 1.876
Cs -0.444 -7.456 1.275
Cs 2.414 -5.477 -1.212
Cs -0.226 -4.019 4.363
Cs -2.035 -6.980 -2.665
Cs 4.223 -2.516 5.816
Cs -1.624 -3.393 0.661
Cs 3.812 -6.104 2.490
I 0.000 0.000 0.000
I 4.185 1.416 1.367
I 3.798 -1.961 -1.764
O -2.705 -2.787 3.340
F -3.091 -6.164 0.209
F 1.094 -4.748 1.575
F 1.480 -1.371 4.707
```

---

Below is a relaxed Cs6I2OF crystal, with properties calculated at the PBE level.

Properties
total energy	-29.19	eV for the cell shown
SG	P-3m1
uncorrected formation energy	-136	kJ/mol of atoms

extended XYZ file:
```
10
Lattice="7.676 0.000 0.000 0.000 8.669 0.000 0.000 -4.335 7.508" Properties=species:S:1:pos:R:3 pbc="T T T"
Cs 5.894 0.000 2.278
Cs 5.894 -2.361 6.368
Cs 5.894 2.361 6.368
Cs 1.782 6.696 1.139
Cs 1.782 1.973 1.139
Cs 1.782 4.335 5.229
I 1.232 0.000 5.005
I 6.444 4.335 2.503
O 0.000 0.000 0.000
F 3.838 0.000 0.000
```

---

Below is a relaxed CsIOF2 crystal, with properties calculated at the PBE level.

Properties
total energy	-12.21	eV for the cell shown
SG	P4/mmm
uncorrected formation energy	-21	kJ/mol of atoms

extended XYZ file:
```
5
Lattice="-4.931 1.543 -0.699 -0.761 -0.098 5.157 1.368 4.501 0.288" Properties=species:S:1:pos:R:3 pbc="T T T"
Cs 0.000 0.000 0.000
I -2.162 2.973 2.373
O 0.684 2.250 0.144
F -0.381 -0.049 2.579
F -2.465 0.772 -0.349
```

---

Below is a relaxed Cs9I3O2F crystal, with properties calculated at the PBE level.

Properties
total energy	-44.11	eV for the cell shown
SG	P-3m1
uncorrected formation energy	-129	kJ/mol of atoms

extended XYZ file:
```
15
Lattice="-0.077 4.886 7.033 -7.373 -2.262 -3.723 -0.378 -8.627 5.990" Properties=species:S:1:pos:R:3 pbc="T T T"
Cs -1.588 -2.167 9.222
Cs -5.151 -3.260 7.423
Cs -1.551 -4.528 5.824
Cs -6.276 -1.474 3.475
Cs -2.676 -2.742 1.876
Cs -6.239 -3.835 0.077
Cs -0.038 2.443 3.516
Cs -3.687 -1.131 -1.861
Cs -3.725 1.312 1.655
I -5.192 -5.620 3.848
I 0.000 0.000 0.000
I -2.635 -0.383 5.451
O -5.008 -1.419 0.931
O -2.819 -4.583 8.368
F -0.189 -4.313 2.995
```

---

Below is a relaxed Cs5I2OF crystal, with properties calculated at the PBE level.

Properties
total energy	-57.15	eV for the cell shown
SG	P2_1
uncorrected formation energy	-154	kJ/mol of atoms

extended XYZ file:
```
18
Lattice="-1.257 3.359 3.248 -8.413 0.823 -7.709 -8.244 -10.683 7.858" Properties=species:S:1:pos:R:3 pbc="T T T"
Cs -14.311 -8.998 3.764
Cs -11.490 -6.854 6.232
Cs -7.345 -6.848 7.842
Cs -10.333 -5.399 1.578
Cs -12.538 -2.058 0.875
Cs -7.714 -2.830 3.550
Cs -8.726 -2.632 -0.641
Cs -11.414 -0.748 -3.640
Cs -5.715 1.317 0.040
Cs -1.950 -0.003 -0.744
I -13.938 -5.029 3.408
I -7.689 -6.778 4.036
I -4.823 -2.570 0.797
I -9.188 1.621 -1.626
O -10.046 -2.431 2.210
O -4.033 0.900 -2.472
F -9.755 -8.094 8.208
F -11.440 -2.660 -1.683
```